BaTa4Pb after structural relaxation, computed with GGA-PBE.

Structure (CIF):
```
data_BaTa4Pb
_chemical_formula_sum 'Ba4 Ta16 Pb4'
_cell_length_a 8.243
_cell_length_b 8.243
_cell_length_c 8.243
_cell_angle_alpha 90.00
_cell_angle_beta 90.00
_cell_angle_gamma 90.00
_space_group_name_H-M_alt 'F -4 3 m'
_space_group_IT_number 216
_space_group_name_Hall 'F -4 2 3'
loop_
_atom_site_label
_atom_site_type_symbol
_atom_site_fract_x
_atom_site_fract_y
_atom_site_fract_z
Ba1 Ba 0.000 0.000 0.000
Ta1 Ta 0.129 0.129 0.371
Pb1 Pb 0.250 0.250 0.750
```

For the size of the total moment, the calculation gives 0.000 μB per atom. The calculation puts the density of states at the Fermi level at 29.86 states/eV/cell. As for the crystal system: cubic. For the energy of formation, the calculation gives 0.770 eV per atom.